DyHoPa2P4 after structural relaxation. Source: Alexandria via LeMat-Bulk, functional PBE.

Summary:
* formation enthalpy at 0 K: -1.46 eV/atom
* density: 8.5 Mg/m³

abc: 3.978 6.880 6.889
angles: 70.49 90.00 90.00
Fractional positions:
1 Dy 0.500 0.500 0.000
2 Ho 0.000 0.500 0.500
3 Pa 0.000 0.000 0.000
4 Pa 0.500 0.000 0.500
5 P 0.000 0.753 0.748
6 P 0.000 0.247 0.252
7 P 0.500 0.753 0.250
8 P 0.500 0.247 0.750